# CaIn2Br

Crystalline CaIn2Br at its relaxed geometry (PBE, Alexandria).

D(E_F) in states/eV per atom: 0.65
Raw formation energy in eV per atom: -0.34
Polymorph energy (0 for the lowest one) in meV/atom: 332.1
Energy in eV per atom: -2.63

Structure (CIF):
```
data_CaIn2Br
_cell_length_a 9.180
_cell_length_b 9.180
_cell_length_c 6.113
_cell_angle_alpha 90.00
_cell_angle_beta 90.00
_cell_angle_gamma 90.00
_symmetry_space_group_name_H-M 'I -4 2 d'
_symmetry_Int_Tables_number 122
_symmetry_space_group_name_Hall 'I -4 2bw'
loop_
_atom_site_label
_atom_site_type_symbol
_atom_site_fract_x
_atom_site_fract_y
_atom_site_fract_z
Ca1 Ca 0.000 0.000 0.000
In1 In 0.249 0.250 0.625
Br1 Br 0.000 0.000 0.500
```



# Ca2InBr

Crystalline Ca2InBr at its relaxed geometry (PBE, Alexandria).

D(E_F) in states/eV per atom: 0.17
Raw formation energy in eV per atom: -0.87
Polymorph energy (0 for the lowest one) in meV/atom: 76.4
Energy in eV per atom: -2.97

Structure (CIF):
```
data_Ca2InBr
_cell_length_a 3.690
_cell_length_b 3.690
_cell_length_c 8.566
_cell_angle_alpha 90.00
_cell_angle_beta 90.00
_cell_angle_gamma 90.00
_symmetry_space_group_name_H-M 'P 4/m m m'
_symmetry_Int_Tables_number 123
_symmetry_space_group_name_Hall '-P 4 2'
loop_
_atom_site_label
_atom_site_type_symbol
_atom_site_fract_x
_atom_site_fract_y
_atom_site_fract_z
Ca1 Ca 0.000 0.000 0.236
In1 In 0.500 0.500 0.000
Br1 Br 0.500 0.500 0.500
```



# Ca2InBr

Crystalline Ca2InBr at its relaxed geometry (PBE, Alexandria).

D(E_F) in states/eV per atom: 1.06
Raw formation energy in eV per atom: -0.85
Polymorph energy (0 for the lowest one) in meV/atom: 90.7
Energy in eV per atom: -2.96

Structure (CIF):
```
data_Ca2InBr
_cell_length_a 5.808
_cell_length_b 5.808
_cell_length_c 3.727
_cell_angle_alpha 90.00
_cell_angle_beta 90.00
_cell_angle_gamma 90.00
_symmetry_space_group_name_H-M 'P 4 m m'
_symmetry_Int_Tables_number 99
_symmetry_space_group_name_Hall 'P 4 -2'
loop_
_atom_site_label
_atom_site_type_symbol
_atom_site_fract_x
_atom_site_fract_y
_atom_site_fract_z
Ca1 Ca 0.000 0.500 0.000
In1 In 0.000 0.000 0.500
Br1 Br 0.500 0.500 0.998
```



> Which formula does entry 2 have?

Ca2InBr